# 1
DFT (PBE-GGA) results for TbHoIr2C2N2 after structural relaxation.

## Properties
For the final energy, the calculation gives -8.260 eV/atom.

Lattice parameters (Å, degrees): 3.727 3.727 7.302 90.00 90.00 90.00
Space group P4mm (No. 99)
Symmetry-distinct sites (fractional):
Tb (0.000, 0.000, 0.000) [1 per cell]
Ho (0.500, 0.500, 0.334) [1 per cell]
Ir (0.000, 0.500, 0.666) [2 per cell]
C (0.000, 0.000, 0.508) [1 per cell]
C (0.500, 0.500, 0.828) [1 per cell]
N (0.000, 0.000, 0.317) [1 per cell]
N (0.500, 0.500, 0.019) [1 per cell]


# 2
DFT (PBE-GGA) results for TaNbAs4 after structural relaxation.

## Properties
For the final energy, the calculation gives -7.263 eV/atom.

Lattice parameters (Å, degrees): 9.444 3.415 7.863 90.00 119.54 90.00
Space group Cm (No. 8)
Symmetry-distinct sites (fractional):
Ta (0.000, 0.000, 0.000) [2 per cell]
Nb (0.314, 0.000, 0.392) [2 per cell]
As (0.016, 0.000, 0.669) [2 per cell]
As (0.062, 0.500, 0.302) [2 per cell]
As (0.252, 0.500, 0.089) [2 per cell]
As (0.298, 0.000, 0.725) [2 per cell]


# 3
DFT (PBE-GGA) results for AlSiTc after structural relaxation.

## Properties
For the final energy, the calculation gives -7.080 eV/atom.

Lattice parameters (Å, degrees): 3.192 3.192 8.030 90.00 90.00 90.00
Space group P4/mmm (No. 123)
Symmetry-distinct sites (fractional):
Al (0.000, 0.000, 0.161) [2 per cell]
Si (0.500, 0.500, 0.333) [2 per cell]
Tc (0.000, 0.000, 0.500) [1 per cell]
Tc (0.500, 0.500, 0.000) [1 per cell]